Material: Nd4GaTe2Cl
Method: DFT, PBE
State: relaxed

Cell and atoms, written as CIF:
```
data_Nd4GaTe2Cl
_chemical_formula_sum 'Nd4 Ga1 Te2 Cl1'
_cell_length_a 4.3584
_cell_length_b 7.7056
_cell_length_c 7.4791
_cell_angle_alpha 70.89
_cell_angle_beta 90.00
_cell_angle_gamma 90.00
_symmetry_space_group_name_H-M 'P 1'
_symmetry_Int_Tables_number 1
loop_
_symmetry_equiv_pos_as_xyz
'x,y,z'
loop_
_atom_site_label
_atom_site_type_symbol
_atom_site_fract_x
_atom_site_fract_y
_atom_site_fract_z
_atom_site_occupancy
Nd1 Nd 0.0000 0.2699 0.2556 1
Nd2 Nd 0.5000 0.2728 0.7357 1
Nd3 Nd 0.5000 0.7272 0.2643 1
Nd4 Nd 0.0000 0.7301 0.7444 1
Te1 Te 0.5000 0.0000 0.5000 1
Te2 Te 0.0000 0.0000 0.0000 1
Cl1 Cl 0.5000 0.5000 0.0000 1
Ga1 Ga 0.0000 0.5000 0.5000 1
```

Calculated values
DOS(E_F) = 4.291 states/eV/f.u.
Symmetry = P2/m (10)
Crystal system = monoclinic


Material: CaAc2ReO6
Method: DFT, PBE
State: relaxed

Cell and atoms, written as CIF:
```
data_CaAc2ReO6
_chemical_formula_sum 'Ca1 Ac2 Re1 O6'
_cell_length_a 5.8712
_cell_length_b 6.0409
_cell_length_c 6.0523
_cell_angle_alpha 59.92
_cell_angle_beta 58.90
_cell_angle_gamma 90.08
_symmetry_space_group_name_H-M 'P 1'
_symmetry_Int_Tables_number 1
loop_
_symmetry_equiv_pos_as_xyz
'x,y,z'
loop_
_atom_site_label
_atom_site_type_symbol
_atom_site_fract_x
_atom_site_fract_y
_atom_site_fract_z
_atom_site_occupancy
Ca1 Ca 0.0000 0.0000 0.0000 1
O1 O 0.7418 0.2708 0.9058 1
O2 O 0.2582 0.7292 0.0943 1
O3 O 0.7568 0.8237 0.5275 1
O4 O 0.7494 0.6431 0.0774 1
O5 O 0.2432 0.1763 0.4725 1
O6 O 0.2506 0.3569 0.9226 1
Ac1 Ac 0.2250 0.7443 0.5141 1
Ac2 Ac 0.7750 0.2557 0.4859 1
Re1 Re 0.5000 0.5000 0.0000 1
```

Calculated values
Symmetry = P-1 (2)
Crystal system = triclinic


Material: Ru2WSe
Method: DFT, PBE
State: relaxed

Cell and atoms, written as CIF:
```
data_Ru2WSe
_chemical_formula_sum 'Ru2 W1 Se1'
_cell_length_a 2.9488
_cell_length_b 3.6297
_cell_length_c 5.7380
_cell_angle_alpha 90.00
_cell_angle_beta 90.00
_cell_angle_gamma 90.00
_symmetry_space_group_name_H-M 'P 1'
_symmetry_Int_Tables_number 1
loop_
_symmetry_equiv_pos_as_xyz
'x,y,z'
loop_
_atom_site_label
_atom_site_type_symbol
_atom_site_fract_x
_atom_site_fract_y
_atom_site_fract_z
_atom_site_occupancy
Ru1 Ru 0.0000 0.0000 0.9875 1
Ru2 Ru 0.0000 0.0000 0.5125 1
Se1 Se 0.5000 0.5000 0.2500 1
W1 W 0.5000 0.5000 0.7500 1
```

Calculated values
DOS(E_F) = 3.469 states/eV/f.u.
Symmetry = Pmmm (47)
Crystal system = orthorhombic


Material: KNiI
Method: DFT, PBE
State: relaxed

Cell and atoms, written as CIF:
```
data_KNiI
_chemical_formula_sum 'K2 Ni2 I2'
_cell_length_a 6.4040
_cell_length_b 6.9932
_cell_length_c 4.3558
_cell_angle_alpha 107.95
_cell_angle_beta 89.76
_cell_angle_gamma 78.69
_symmetry_space_group_name_H-M 'P 1'
_symmetry_Int_Tables_number 1
loop_
_symmetry_equiv_pos_as_xyz
'x,y,z'
loop_
_atom_site_label
_atom_site_type_symbol
_atom_site_fract_x
_atom_site_fract_y
_atom_site_fract_z
_atom_site_occupancy
Ni1 Ni 0.2340 0.5711 0.4194 1
Ni2 Ni 0.3844 0.4553 0.8613 1
K1 K 0.6150 0.7910 0.4904 1
K2 K 0.0044 0.2340 0.7061 1
I1 I 0.0793 0.7679 0.9763 1
I2 I 0.5393 0.2580 0.2205 1
```

Calculated values
DOS(E_F) = 0.404 states/eV/f.u.
Symmetry = P1 (1)
Energy above the most stable polymorph in this dataset = 0.039 eV/atom
Crystal system = triclinic


| no. | VASP energy (eV/atom) | formation energy from raw total energies (meV per atom) |
| --- | --- | --- |
| 1 | -5.019 | -1241 |
| 2 | -7.921 | -2680 |
| 3 | -8.496 | 252 |
| 4 | -3.090 | -281 |